Entry 1:
This record from Alexandria via LeMat-Bulk describes an optimized crystal structure of PuAl2Co. The functional is PBE-GGA.

Lattice parameters (Å, degrees): 2.9197 2.9197 7.5232 90.00 90.00 90.00
Sites, in units of the cell vectors:
Pu 0.0000 0.0000 0.0000
Al 0.5000 0.5000 0.3163
Al 0.5000 0.5000 0.6837
Co 0.0000 0.0000 0.5000

Values from the calculation:
N(E_F), states/eV/cell: 6.155
Final energy, eV per cell: -30.42
Formation energy from the elements, kJ/mol of atoms: -36.0


Entry 2:
This record from Alexandria via LeMat-Bulk describes an optimized crystal structure of SrLi2GePt. The functional is PBE-GGA.

Lattice parameters (Å, degrees): 4.8905 4.8905 4.7568 90.00 90.00 90.00
Sites, in units of the cell vectors:
Sr 0.0000 0.0000 0.0000
Li 0.0000 0.5000 0.5000
Li 0.5000 0.0000 0.5000
Ge 0.5000 0.5000 0.0000
Pt 0.5000 0.5000 0.5000

Values from the calculation:
N(E_F), states/eV/cell: 2.490
Final energy, eV per cell: -18.47
Formation energy from the elements, kJ/mol of atoms: -44.5


Entry 3:
This record from Alexandria via LeMat-Bulk describes an optimized crystal structure of ZrPbBr2. The functional is PBE-GGA.

Lattice parameters (Å, degrees): 4.3878 4.3878 10.7868 90.00 90.00 90.00
Sites, in units of the cell vectors:
Zr 0.0000 0.0000 0.0000
Zr 0.5000 0.5000 0.5000
Pb 0.0000 0.5000 0.2500
Pb 0.5000 0.0000 0.7500
Br 0.0000 0.0000 0.5000
Br 0.0000 0.5000 0.7500
Br 0.5000 0.0000 0.2500
Br 0.5000 0.5000 0.0000

Values from the calculation:
N(E_F), states/eV/cell: 7.822
Offset from the most stable computed form, meV per atom: 744.1
Final energy, eV per cell: -31.44
Formation energy from raw total energies, eV/atom: -0.029


Entry 4:
This record from Alexandria via LeMat-Bulk describes an optimized crystal structure of Cd3OsAu. The functional is PBE-GGA.

Lattice parameters (Å, degrees): 5.1874 5.1874 5.1874 90.00 90.00 90.00
Sites, in units of the cell vectors:
Cd 0.0000 0.0000 0.5000
Cd 0.0000 0.5000 0.0000
Cd 0.5000 0.0000 0.0000
Os 0.0000 0.0000 0.0000
Au 0.5000 0.5000 0.5000

Values from the calculation:
N(E_F), states/eV/cell: 5.059
Offset from the most stable computed form, meV per atom: 0.0
Final energy, eV per cell: -12.25
Formation energy from the elements, kJ/mol of atoms: 96.5


Entry 5:
This record from Alexandria via LeMat-Bulk describes an optimized crystal structure of NaCaHfMn2. The functional is PBE-GGA.

Lattice parameters (Å, degrees): 4.9103 4.9103 4.8742 90.00 90.00 90.00
Sites, in units of the cell vectors:
Na 0.0000 0.0000 0.0000
Ca 0.0000 0.0000 0.5000
Hf 0.5000 0.5000 0.5000
Mn 0.0000 0.5000 0.0000
Mn 0.5000 0.0000 0.0000

Values from the calculation:
N(E_F), states/eV/cell: 6.577
Final energy, eV per cell: -24.62
Formation energy from the elements, kJ/mol of atoms: 134.9


Entry 6:
This record from Alexandria via LeMat-Bulk describes an optimized crystal structure of ErIn2I6. The functional is PBE-GGA.

Lattice parameters (Å, degrees): 10.7219 10.7219 7.7856 102.79 102.79 78.21
Sites, in units of the cell vectors:
Er 0.0875 0.9125 0.7500
Er 0.9125 0.0875 0.2500
In 0.2058 0.3775 0.7016
In 0.3775 0.2058 0.2016
In 0.6225 0.7942 0.7984
In 0.7942 0.6225 0.2984
I 0.0299 0.1805 0.9870
I 0.1203 0.6472 0.5388
I 0.1805 0.0299 0.4870
I 0.3269 0.4763 0.0894
I 0.3528 0.8797 0.9612
I 0.4763 0.3269 0.5894
I 0.5237 0.6731 0.4106
I 0.6472 0.1203 0.0388
I 0.6731 0.5237 0.9106
I 0.8195 0.9701 0.5130
I 0.8797 0.3528 0.4612
I 0.9701 0.8195 0.0130

Values from the calculation:
N(E_F), states/eV/cell: 6.814
Final energy, eV per cell: -52.60
Formation energy from raw total energies, eV/atom: -0.773


Entry 7:
This record from Alexandria via LeMat-Bulk describes an optimized crystal structure of Be3CS. The functional is PBE-GGA.

Lattice parameters (Å, degrees): 3.6228 3.6228 3.6228 90.00 90.00 90.00
Sites, in units of the cell vectors:
Be 0.0000 0.0000 0.5000
Be 0.0000 0.5000 0.0000
Be 0.5000 0.0000 0.0000
C 0.0000 0.0000 0.0000
S 0.5000 0.5000 0.5000

Values from the calculation:
N(E_F), states/eV/cell: 0.000
Offset from the most stable computed form, meV per atom: 0.0
Final energy, eV per cell: -24.77
Formation energy from raw total energies, eV/atom: -0.049


Entry 8:
This record from Alexandria via LeMat-Bulk describes an optimized crystal structure of Ca3MgP. The functional is PBE-GGA.

Lattice parameters (Å, degrees): 7.4330 9.1953 9.5095 90.00 90.00 90.00
Sites, in units of the cell vectors:
Ca 0.1012 0.0605 0.1524
Ca 0.1012 0.4395 0.1524
Ca 0.1856 0.2500 0.7778
Ca 0.3144 0.7500 0.2778
Ca 0.3988 0.5605 0.6524
Ca 0.3988 0.9395 0.6524
Ca 0.6012 0.0605 0.3476
Ca 0.6012 0.4395 0.3476
Ca 0.6856 0.2500 0.7222
Ca 0.8144 0.7500 0.2222
Ca 0.8988 0.5605 0.8476
Ca 0.8988 0.9395 0.8476
Mg 0.0000 0.0000 0.5000
Mg 0.0000 0.5000 0.5000
Mg 0.5000 0.0000 0.0000
Mg 0.5000 0.5000 0.0000
P 0.1028 0.7500 0.0257
P 0.3972 0.2500 0.5257
P 0.6028 0.7500 0.4743
P 0.8972 0.2500 0.9743

Values from the calculation:
N(E_F), states/eV/cell: 0.554
Offset from the most stable computed form, meV per atom: 271.0
Final energy, eV per cell: -57.95
Formation energy from the elements, kJ/mol of atoms: -28.5


no.,M_tot (μB per cell)
1,4.9
2,0.2
3,1.5
4,0.9
5,6.7
6,0.0
7,0.0
8,0.0